Model a:
DFT (PBE) results for a geometry-optimized Ni2AgTe2 structure.

As for the space group: No. 139.

abc: 3.6538 3.6538 7.9881
angles: 76.78 76.78 90.00
Last column: nearest neighbours and their distance in Å.
Atoms (fractional coordinates):
Ni  0.7500  0.2500  0.5000  4 Te 2.56, 4 Ni 2.58
Ni  0.2500  0.7500  0.5000  4 Te 2.56, 4 Ni 2.58
Te  0.3687  0.3687  0.2626  4 Ni 2.56
Te  0.6313  0.6313  0.7374  4 Ni 2.56
Ag  0.0000  0.0000  0.0000  8 Te 3.26

Model b:
DFT (PBE) results for a geometry-optimized Ni2AgTe2 structure.

As for the space group: No. 127.

abc: 7.0526 7.0526 3.5314
angles: 90.00 90.00 90.00
Last column: nearest neighbours and their distance in Å.
Atoms (fractional coordinates):
Ni  0.3736  0.8736  0.0000  1 Ni 2.52, 6 Te 2.69-2.75, 2 Ag 2.78
Ni  0.8736  0.6264  0.0000  1 Ni 2.52, 6 Te 2.69-2.75, 2 Ag 2.78
Ni  0.6264  0.1264  0.0000  1 Ni 2.52, 6 Te 2.69-2.75, 2 Ag 2.78
Ni  0.1264  0.3736  0.0000  1 Ni 2.52, 6 Te 2.69-2.75, 2 Ag 2.78
Te  0.1698  0.6698  0.5000  6 Ni 2.69-2.75
Te  0.6698  0.8302  0.5000  6 Ni 2.69-2.75
Te  0.8302  0.3302  0.5000  6 Ni 2.69-2.75
Te  0.3302  0.1698  0.5000  6 Ni 2.69-2.75
Ag  0.0000  0.0000  0.0000  4 Ni 2.78
Ag  0.5000  0.5000  0.0000  4 Ni 2.78

The computed energies, referenced to the most stable structure and given in kJ/mol of atoms, are model a 0.0; model b 7.4.